[1]
# Tl4CrHg (PBE, optimized geometry)
data_Tl4CrHg
_cell_length_a 8.989
_cell_length_b 8.989
_cell_length_c 8.989
_cell_angle_alpha 90.00
_cell_angle_beta 90.00
_cell_angle_gamma 90.00
_symmetry_space_group_name_H-M 'F -4 3 m'
_symmetry_Int_Tables_number 216
_symmetry_space_group_name_Hall 'F -4 2 3'
loop_
_atom_site_label
_atom_site_type_symbol
_atom_site_fract_x
_atom_site_fract_y
_atom_site_fract_z
Tl1 Tl 0.125 0.125 0.125
Cr1 Cr 0.250 0.250 0.750
Hg1 Hg 0.000 0.000 0.500
# Calculated formation energy in eV per formula unit: 2.9

[2]
# Ce6C2SN3 (PBE, optimized geometry)
data_Ce6C2SN3
_cell_length_a 16.036
_cell_length_b 3.677
_cell_length_c 7.398
_cell_angle_alpha 90.00
_cell_angle_beta 103.09
_cell_angle_gamma 90.00
_symmetry_space_group_name_H-M 'C 1 2/m 1'
_symmetry_Int_Tables_number 12
_symmetry_space_group_name_Hall '-C 2y'
loop_
_atom_site_label
_atom_site_type_symbol
_atom_site_fract_x
_atom_site_fract_y
_atom_site_fract_z
Ce1 Ce 0.001 0.000 0.226
Ce2 Ce 0.167 0.500 0.084
Ce3 Ce 0.175 0.500 0.588
C1 C 0.168 0.000 0.834
S1 S 0.000 0.500 0.500
N1 N 0.000 0.500 0.000
N2 N 0.169 0.000 0.331
# Formation energy (no corrections) in meV per atom: -1085

[3]
# TaTi2F (PBE, optimized geometry)
data_TaTi2F
_cell_length_a 6.327
_cell_length_b 6.327
_cell_length_c 6.327
_cell_angle_alpha 90.00
_cell_angle_beta 90.00
_cell_angle_gamma 90.00
_symmetry_space_group_name_H-M 'F m -3 m'
_symmetry_Int_Tables_number 225
_symmetry_space_group_name_Hall '-F 4 2 3'
loop_
_atom_site_label
_atom_site_type_symbol
_atom_site_fract_x
_atom_site_fract_y
_atom_site_fract_z
Ta1 Ta 0.000 0.000 0.000
Ti1 Ti 0.250 0.250 0.250
F1 F 0.000 0.000 0.500
# Formation energy (no corrections) in meV per atom: 110
# Energy above the most stable polymorph in this dataset in meV per atom: 517.4

[4]
# LaTb4Nd2Tm (PBE, optimized geometry)
data_LaTb4Nd2Tm
_cell_length_a 5.098
_cell_length_b 5.115
_cell_length_c 10.181
_cell_angle_alpha 90.00
_cell_angle_beta 90.00
_cell_angle_gamma 90.00
_symmetry_space_group_name_H-M 'P m m m'
_symmetry_Int_Tables_number 47
_symmetry_space_group_name_Hall '-P 2 2'
loop_
_atom_site_label
_atom_site_type_symbol
_atom_site_fract_x
_atom_site_fract_y
_atom_site_fract_z
La1 La 0.000 0.000 0.000
Tb1 Tb 0.000 0.500 0.255
Tb2 Tb 0.500 0.000 0.254
Nd1 Nd 0.000 0.000 0.500
Nd2 Nd 0.500 0.500 0.000
Tm1 Tm 0.500 0.500 0.500
# Calculated formation energy in eV per formula unit: 0.2

[5]
# SrLi2Os (PBE, optimized geometry)
data_SrLi2Os
_cell_length_a 4.374
_cell_length_b 4.374
_cell_length_c 18.931
_cell_angle_alpha 90.00
_cell_angle_beta 90.00
_cell_angle_gamma 90.00
_symmetry_space_group_name_H-M 'I -4 2 d'
_symmetry_Int_Tables_number 122
_symmetry_space_group_name_Hall 'I -4 2bw'
loop_
_atom_site_label
_atom_site_type_symbol
_atom_site_fract_x
_atom_site_fract_y
_atom_site_fract_z
Sr1 Sr 0.000 0.000 0.000
Li1 Li 0.128 0.250 0.625
Os1 Os 0.000 0.000 0.500
# Calculated formation energy in eV per formula unit: 3.2
# Energy above the most stable polymorph in this dataset in meV per atom: 294.6

[6]
# BaBeS2 (PBE, optimized geometry)
data_BaBeS2
_cell_length_a 4.8979
_cell_length_b 4.8979
_cell_length_c 20.0840
_cell_angle_alpha 90.00
_cell_angle_beta 90.00
_cell_angle_gamma 120.00
_symmetry_space_group_name_H-M 'R -3 m'
_symmetry_Int_Tables_number 166
_symmetry_space_group_name_Hall '-R 3 2"'
loop_
_atom_site_label
_atom_site_type_symbol
_atom_site_fract_x
_atom_site_fract_y
_atom_site_fract_z
Ba1 Ba 0.0000 0.0000 0.0000
Be1 Be 0.0000 0.0000 0.5000
S1 S 0.0000 0.0000 0.4067
# Formation energy (no corrections) in meV per atom: -1352

Looking at total magnetic moment for the records above, in order, we have 0.8252, 0.0602, 0.0000, 0.0000, 0.1718, 0.0000 μB per atom.
Looking at N(E_F) for the records above, in order, we have 0.32, 1.15, 1.06, 1.44, 0.82, 0.00 states/eV per atom.
Looking at ρ for the records above, in order, we have 9.79, 7.34, 7.75, 7.71, 5.35, 2.51 Mg/m³.